1.
{"formula": "ZnBr3O", "functional": "PBE", "state": "relaxed", "e_form_raw_ev_per_atom": -0.44, "de_polymorph_ev_per_atom": 0.0000, "sg": "P1, No. 1", "lattice": [[-2.806, 4.424, -4.187], [3.533, -1.239, -6.382], [-5.473, -3.384, -4.753]], "species": ["O", "Br", "Br", "O", "Zn", "Br", "Br", "Br", "Br", "Zn"], "fractional_positions": [[0.305, 0.057, 0.903], [0.754, 0.978, 0.070], [0.813, 0.561, 0.473], [0.508, 0.049, 0.521], [0.780, 0.910, 0.380], [0.607, 0.560, 0.818], [0.476, 0.171, 0.694], [0.100, 0.012, 0.382], [0.396, 0.570, 0.158], [0.397, 0.913, 0.112]]}

=====

2.
{"formula": "CaGeNF2", "functional": "PBE", "state": "relaxed", "e_form_raw_ev_per_atom": -1.47, "de_polymorph_ev_per_atom": 0.0000, "sg": "P4/mmm, No. 123", "lattice": [[-0.865, 0.084, -4.179], [-0.185, -4.264, -0.047], [-3.861, 0.158, 0.802]], "species": ["F", "F", "N", "Ge", "Ca"], "fractional_positions": [[0.500, 0.000, 0.000], [0.000, 0.500, 0.000], [0.000, 0.000, 0.500], [0.000, 0.000, 0.000], [0.500, 0.500, 0.500]]}